*A*
Sc3Ta2 | GGA-PBE | relaxed

## Properties
crystal system: trigonal
calculated volume: 24.0 A^3/atom
M_tot: 0.0001 μB per atom
space-group type: No. 164

Lattice parameters (Å, degrees): 4.749 4.749 6.152 90.00 90.00 120.00
Positions (direct):
Sc: 0.333 0.667 0.353
Sc: 0.000 0.000 0.000
Sc: 0.667 0.333 0.647
Ta: 0.333 0.667 0.899
Ta: 0.667 0.333 0.101

=====

*B*
Sc3Ta2 | GGA-PBE | relaxed

## Properties
crystal system: trigonal
calculated volume: 21.2 A^3/atom
M_tot: 0.0000 μB per atom
space-group type: No. 166

Lattice parameters (Å, degrees): 12.961 12.961 12.961 13.67 13.67 13.67
Positions (direct):
Sc: 0.204 0.204 0.204
Sc: 0.000 0.000 0.000
Sc: 0.796 0.796 0.796
Ta: 0.601 0.601 0.601
Ta: 0.399 0.399 0.399

=====

According to the calculations, the structures order from most to least stable as *B*, *A*.